Run 1
This record from the Alexandria database describes a relaxed structure of NbMoCl. The functional is PBE-GGA.

Calculated values
As for the density of states at the Fermi level: 3.752 states/eV/cell. The crystal system is triclinic. As for the space group: No. 1.

Unit cell a=3.2283 b=4.5039 c=9.5189 alpha=99.56 beta=99.55 gamma=90.00
Last column: nearest neighbours and their distance in Å.
Positions (direct):
Nb1 0.0000 0.0000 0.0000  1 Cl 2.49, 2 Mo 2.67-2.68
Nb2 0.3707 0.8961 0.7350  2 Cl 2.61, 4 Mo 2.70-2.86
Mo1 0.4920 0.5218 0.9838  2 Mo 2.60, 4 Nb 2.67-2.88, 2 Cl 2.73-2.74
Mo2 0.8844 0.4281 0.7632  1 Cl 2.51, 2 Mo 2.60, 2 Nb 2.70
Cl1 0.1024 0.4269 0.2070  1 Nb 2.49, 2 Mo 2.73-2.74
Cl2 0.7743 0.0370 0.5378  1 Mo 2.51, 2 Nb 2.61

---

Run 2
This record from the Alexandria database describes a relaxed structure of NbMoCl. The functional is PBE-GGA.

Calculated values
As for the density of states at the Fermi level: 1.588 states/eV/cell. The crystal system is orthorhombic. As for the space group: No. 40.

Unit cell a=3.2419 b=9.4592 c=9.4592 alpha=152.44 beta=90.00 gamma=90.00
Last column: nearest neighbours and their distance in Å.
Positions (direct):
Nb1 0.2500 0.0689 0.9311  2 Cl 2.59, 4 Mo 2.72-2.86
Nb2 0.7500 0.9311 0.0689  2 Cl 2.59, 4 Mo 2.72-2.86
Mo1 0.2500 0.4666 0.5725  2 Mo 2.53, 1 Cl 2.54, 2 Nb 2.72
Mo2 0.7500 0.5725 0.4666  2 Mo 2.53, 1 Cl 2.54, 2 Nb 2.72
Cl1 0.2500 0.0360 0.3703  1 Mo 2.54, 2 Nb 2.59
Cl2 0.7500 0.3703 0.0360  1 Mo 2.54, 2 Nb 2.59

---

It is run 1 that is the least stable of them.

---

Run 1
This record from the Alexandria database describes a relaxed structure of NbMoCl. The functional is PBE-GGA.

Calculated values
As for the density of states at the Fermi level: 3.429 states/eV/cell. The crystal system is triclinic. As for the space group: No. 1.

Unit cell a=3.2259 b=5.2343 c=9.1598 alpha=103.95 beta=90.70 gamma=107.86
Last column: nearest neighbours and their distance in Å.
Positions (direct):
Nb1 0.0000 0.0000 0.0000  1 Cl 2.61, 2 Nb 2.73, 3 Mo 2.76-2.84
Nb2 0.3796 0.7753 0.7586  1 Cl 2.43
Mo1 0.2969 0.5869 0.0542  1 Cl 2.42, 2 Mo 2.51
Mo2 0.6820 0.3708 0.8474  2 Mo 2.51, 1 Cl 2.60
Cl1 0.1945 0.3679 0.2610  1 Mo 2.42, 1 Nb 2.61
Cl2 0.5106 0.0499 0.5740  1 Nb 2.43, 1 Mo 2.60

---

Run 2
This record from the Alexandria database describes a relaxed structure of NbMoCl. The functional is PBE-GGA.

Calculated values
As for the density of states at the Fermi level: 1.492 states/eV/cell. The crystal system is monoclinic. As for the space group: No. 5.

Unit cell a=9.8274 b=9.8274 c=3.2416 alpha=98.73 beta=98.73 gamma=26.50
Last column: nearest neighbours and their distance in Å.
Positions (direct):
Nb1 0.0670 0.0670 0.3117  2 Cl 2.59, 4 Mo 2.72-2.86
Nb2 0.9330 0.9330 0.6883  2 Cl 2.59, 4 Mo 2.72-2.86
Mo1 0.4290 0.4680 0.2026  2 Mo 2.53, 1 Cl 2.54, 2 Nb 2.72
Mo2 0.5320 0.5710 0.7974  2 Mo 2.53, 1 Cl 2.54, 2 Nb 2.72
Cl1 0.6343 0.0405 0.1003  1 Mo 2.54, 2 Nb 2.59
Cl2 0.9595 0.3657 0.8997  1 Mo 2.54, 2 Nb 2.59

---

It is run 1 that is the least stable of them.

---

Run 1
This record from the Alexandria database describes a relaxed structure of NbMoCl. The functional is PBE-GGA.

Calculated values
As for the density of states at the Fermi level: 1.258 states/eV/cell. The crystal system is monoclinic. As for the space group: No. 8.

Unit cell a=3.0531 b=3.0531 c=6.5619 alpha=96.17 beta=96.17 gamma=65.50
Last column: nearest neighbours and their distance in Å.
Positions (direct):
Nb1 0.0000 0.0000 0.0000  3 Cl 2.55-2.68, 2 Mo 2.56
Mo1 0.5530 0.5530 0.2997  2 Nb 2.56, 1 Cl 2.64
Cl1 0.6234 0.6234 0.7051  3 Nb 2.55-2.68, 1 Mo 2.64

---

Run 2
This record from the Alexandria database describes a relaxed structure of NbMoCl. The functional is PBE-GGA.

Calculated values
As for the density of states at the Fermi level: 3.723 states/eV/cell. The crystal system is triclinic. As for the space group: No. 1.

Unit cell a=3.1698 b=4.6208 c=9.5935 alpha=82.53 beta=87.74 gamma=84.04
Last column: nearest neighbours and their distance in Å.
Positions (direct):
Nb1 0.0000 0.0000 0.0000  2 Cl 2.50-2.51, 1 Mo 2.69
Nb2 0.4281 0.2111 0.7361  4 Mo 2.58-2.77, 2 Cl 2.60-2.67
Mo1 0.6339 0.5705 0.9003  1 Mo 2.39, 1 Nb 2.58
Mo2 0.9777 0.7589 0.6861  1 Mo 2.39, 1 Cl 2.63, 1 Nb 2.66
Cl1 0.4852 0.9480 0.2038  2 Nb 2.50-2.51
Cl2 0.9499 0.3549 0.5185  2 Nb 2.60-2.67, 1 Mo 2.63

---

It is run 1 that is the least stable of them.

---

Run 1
This record from the Alexandria database describes a relaxed structure of Nb3MoCl. The functional is PBE-GGA.

Calculated values
As for the density of states at the Fermi level: 8.634 states/eV/cell. The crystal system is cubic. As for the space group: No. 221.

Unit cell a=4.5289 b=4.5289 c=4.5289 alpha=90.00 beta=90.00 gamma=90.00
Last column: nearest neighbours and their distance in Å.
Positions (direct):
Nb1 0.0000 0.0000 0.5000  2 Cl 2.26
Nb2 0.0000 0.5000 0.0000  2 Cl 2.26
Nb3 0.5000 0.0000 0.0000  2 Cl 2.26
Mo1 0.5000 0.5000 0.5000  12 Nb 3.20
Cl1 0.0000 0.0000 0.0000  6 Nb 2.26

---

Run 2
This record from the Alexandria database describes a relaxed structure of Nb3MoCl. The functional is PBE-GGA.

Calculated values
As for the density of states at the Fermi level: 9.370 states/eV/cell. The crystal system is cubic. As for the space group: No. 221.

Unit cell a=4.9142 b=4.9142 c=4.9142 alpha=90.00 beta=90.00 gamma=90.00
Last column: nearest neighbours and their distance in Å.
Positions (direct):
Nb1 0.0000 0.0000 0.5000  2 Mo 2.46
Nb2 0.0000 0.5000 0.0000  2 Mo 2.46
Nb3 0.5000 0.0000 0.0000  2 Mo 2.46
Mo1 0.0000 0.0000 0.0000  6 Nb 2.46
Cl1 0.5000 0.5000 0.5000  12 Nb 3.47

---

It is run 2 that is the least stable of them.

---

Run 1
This record from the Alexandria database describes a relaxed structure of NbMoP2Cl. The functional is PBE-GGA.

Calculated values
As for the density of states at the Fermi level: 5.715 states/eV/cell. The crystal system is tetragonal. As for the space group: No. 123.

Unit cell a=4.6732 b=4.6732 c=4.7964 alpha=90.00 beta=90.00 gamma=90.00
Last column: nearest neighbours and their distance in Å.
Positions (direct):
Nb1 0.0000 0.0000 0.0000  4 Cl 3.30, 8 P 3.35
Mo1 0.5000 0.5000 0.5000  4 P 2.34, 2 Cl 2.40
P1 0.0000 0.5000 0.5000  2 Mo 2.34
P2 0.5000 0.0000 0.5000  2 Mo 2.34
Cl1 0.5000 0.5000 0.0000  2 Mo 2.40

---

Run 2
This record from the Alexandria database describes a relaxed structure of NbMoP2Cl. The functional is PBE-GGA.

Calculated values
As for the density of states at the Fermi level: 2.277 states/eV/cell. The crystal system is tetragonal. As for the space group: No. 123.

Unit cell a=4.8733 b=4.8733 c=4.7611 alpha=90.00 beta=90.00 gamma=90.00
Last column: nearest neighbours and their distance in Å.
Positions (direct):
Nb1 0.0000 0.0000 0.0000  2 Cl 2.38, 4 P 2.44
Mo1 0.5000 0.5000 0.5000  8 P 3.41, 4 Cl 3.45
P1 0.0000 0.5000 0.0000  2 Nb 2.44
P2 0.5000 0.0000 0.0000  2 Nb 2.44
Cl1 0.0000 0.0000 0.5000  2 Nb 2.38

---

It is run 1 that is the least stable of them.

---

Run 1
This record from the Alexandria database describes a relaxed structure of NbMoS2Cl. The functional is PBE-GGA.

Calculated values
As for the density of states at the Fermi level: 3.256 states/eV/cell. The crystal system is tetragonal. As for the space group: No. 123.

Unit cell a=4.8502 b=4.8502 c=4.8044 alpha=90.00 beta=90.00 gamma=90.00
Last column: nearest neighbours and their distance in Å.
Positions (direct):
Nb1 0.0000 0.0000 0.0000  2 Cl 2.40, 4 S 2.43
Mo1 0.5000 0.5000 0.5000  8 S 3.41, 4 Cl 3.43
S1 0.0000 0.5000 0.0000  2 Nb 2.43
S2 0.5000 0.0000 0.0000  2 Nb 2.43
Cl1 0.0000 0.0000 0.5000  2 Nb 2.40

---

Run 2
This record from the Alexandria database describes a relaxed structure of NbMoS2Cl. The functional is PBE-GGA.

Calculated values
As for the density of states at the Fermi level: 6.115 states/eV/cell. The crystal system is tetragonal. As for the space group: No. 123.

Unit cell a=4.6847 b=4.6847 c=4.7841 alpha=90.00 beta=90.00 gamma=90.00
Last column: nearest neighbours and their distance in Å.
Positions (direct):
Nb1 0.0000 0.0000 0.0000  4 Cl 3.31, 8 S 3.35
Mo1 0.5000 0.5000 0.5000  4 S 2.34, 2 Cl 2.39
S1 0.0000 0.5000 0.5000  2 Mo 2.34
S2 0.5000 0.0000 0.5000  2 Mo 2.34
Cl1 0.5000 0.5000 0.0000  2 Mo 2.39

---

It is run 2 that is the least stable of them.

---

Run 1
This record from the Alexandria database describes a relaxed structure of NbMoSCl2. The functional is PBE-GGA.

Calculated values
As for the density of states at the Fermi level: 7.190 states/eV/cell. The crystal system is tetragonal. As for the space group: No. 123.

Unit cell a=4.9148 b=4.9148 c=4.5924 alpha=90.00 beta=90.00 gamma=90.00
Last column: nearest neighbours and their distance in Å.
Positions (direct):
Nb1 0.0000 0.0000 0.0000  8 Cl 3.36, 4 S 3.48
Mo1 0.5000 0.5000 0.5000  2 S 2.30, 4 Cl 2.46
S1 0.5000 0.5000 0.0000  2 Mo 2.30
Cl1 0.0000 0.5000 0.5000  2 Mo 2.46
Cl2 0.5000 0.0000 0.5000  2 Mo 2.46

---

Run 2
This record from the Alexandria database describes a relaxed structure of NbMoSCl2. The functional is PBE-GGA.

Calculated values
As for the density of states at the Fermi level: 2.692 states/eV/cell. The crystal system is tetragonal. As for the space group: No. 123.

Unit cell a=4.9084 b=4.9084 c=4.8595 alpha=90.00 beta=90.00 gamma=90.00
Last column: nearest neighbours and their distance in Å.
Positions (direct):
Nb1 0.0000 0.0000 0.0000  2 S 2.43, 4 Cl 2.45
Mo1 0.5000 0.5000 0.5000  8 Cl 3.45, 4 S 3.47
S1 0.0000 0.0000 0.5000  2 Nb 2.43
Cl1 0.0000 0.5000 0.0000  2 Nb 2.45
Cl2 0.5000 0.0000 0.0000  2 Nb 2.45

---

It is run 1 that is the least stable of them.